CoP2O6 | PBE+U | optimized geometry

Summary:
Its space group is C2/c. The final energy is -7.0068 eV per atom.

a b c (Å): 4.801 7.626 7.626
angles (deg): 89.89 107.63 107.63
Site moments in Bohr magnetons follow the coordinates.
Positions (direct):
O1 0.086 0.230 0.033  0.03
O2 0.960 0.359 0.302  0.01
O3 0.148 0.819 0.432  0.03
O4 0.648 0.432 0.819  0.03
O5 0.852 0.181 0.568  0.03
O6 0.540 0.698 0.641  0.01
P1 0.213 0.368 0.201  0.01
Co1 0.250 0.799 0.201  2.75
O7 0.414 0.967 0.770  0.03
O8 0.352 0.568 0.181  0.03
O9 0.460 0.302 0.359  0.01
P2 0.787 0.632 0.799  0.01
P3 0.287 0.799 0.632  0.01
Co2 0.750 0.201 0.799  2.75
P4 0.713 0.201 0.368  0.01
O10 0.586 0.033 0.230  0.03
O11 0.914 0.770 0.967  0.03
O12 0.040 0.641 0.698  0.01